Entry 1:
VASP calculation (PBE) on a relaxed WC2Cl2 crystal.

Unit cell a=6.535 b=6.535 c=3.266 alpha=90.00 beta=90.00 gamma=90.00
Atoms (fractional coordinates):
W 0.000 0.000 0.000
W 0.500 0.500 0.000
C 0.233 0.267 0.500
C 0.267 0.767 0.500
C 0.733 0.233 0.500
C 0.767 0.733 0.500
Cl 0.155 0.655 0.000
Cl 0.345 0.155 0.000
Cl 0.655 0.845 0.000
Cl 0.845 0.345 0.000

Properties
Total magnetization ... 0.52 μB/f.u.
Relative energy among the computed polymorphs ... 0.621 eV/atom

***

Entry 2:
VASP calculation (PBE) on a relaxed Pr5Ag4Ir crystal.

Unit cell a=3.696 b=3.696 c=19.165 alpha=90.00 beta=90.00 gamma=90.00
Atoms (fractional coordinates):
Pr 0.000 0.000 0.000
Pr 0.000 0.000 0.205
Pr 0.000 0.000 0.413
Pr 0.000 0.000 0.587
Pr 0.000 0.000 0.795
Ag 0.500 0.500 0.102
Ag 0.500 0.500 0.305
Ag 0.500 0.500 0.695
Ag 0.500 0.500 0.898
Ir 0.500 0.500 0.500

Properties
E ... -47.272 eV/cell
Total magnetization ... 0.00 μB/f.u.

***

Entry 3:
VASP calculation (PBE) on a relaxed CrCoSiRh2 crystal.

Unit cell a=4.320 b=4.320 c=4.312 alpha=90.00 beta=90.00 gamma=90.00
Atoms (fractional coordinates):
Cr 0.000 0.000 0.000
Co 0.500 0.500 0.000
Si 0.000 0.000 0.500
Rh 0.000 0.500 0.500
Rh 0.500 0.000 0.500

Properties
E ... -32.801 eV/cell
Total magnetization ... 2.16 μB/f.u.

***

Entry 4:
VASP calculation (PBE) on a relaxed RhAuBr2 crystal.

Unit cell a=3.194 b=3.194 c=8.097 alpha=90.00 beta=90.00 gamma=90.00
Atoms (fractional coordinates):
Rh 0.000 0.000 0.000
Au 0.000 0.000 0.500
Br 0.500 0.500 0.201
Br 0.500 0.500 0.799

Properties
Total magnetization ... 0.00 μB/f.u.
Relative energy among the computed polymorphs ... 0.561 eV/atom

***

It is found that the DOS at the Fermi energy values, taken in the order of the records, are 2.1; 8.5; 8.5; 3.6 states/eV/f.u..